Computed, not measured: a geometry-optimized Ba4AgIrI2 structure at the GGA-PBE level of DFT.

Structure (CIF):
```
data_Ba4AgIrI2
_chemical_formula_sum 'Ba4 Ag1 Ir1 I2'
_cell_length_a 8.224
_cell_length_b 4.677
_cell_length_c 9.096
_cell_angle_alpha 90.00
_cell_angle_beta 106.65
_cell_angle_gamma 90.00
_symmetry_space_group_name_H-M 'P 1 2/m 1'
_symmetry_Int_Tables_number 10
loop_
_symmetry_equiv_pos_as_xyz
'x,y,z'
'-x,-y,-z'
'-x,y,-z'
'x,-y,z'
loop_
_atom_site_label
_atom_site_type_symbol
_atom_site_fract_x
_atom_site_fract_y
_atom_site_fract_z
Ba1 Ba 0.214 0.000 0.200
Ba2 Ba 0.237 0.500 0.792
Ag1 Ag 0.500 0.000 0.000
Ir1 Ir 0.000 0.500 0.000
I1 I 0.000 0.000 0.500
I2 I 0.500 0.500 0.500
```

Summary:
Formation energy from raw total energies: -0.786 eV per atom


Computed, not measured: a geometry-optimized ReBi2P structure at the GGA-PBE level of DFT.

Structure (CIF):
```
data_ReBi2P
_chemical_formula_sum 'Re4 Bi8 P4'
_cell_length_a 6.333
_cell_length_b 6.333
_cell_length_c 12.296
_cell_angle_alpha 90.00
_cell_angle_beta 90.00
_cell_angle_gamma 90.00
_symmetry_space_group_name_H-M 'I -4 2 d'
_symmetry_Int_Tables_number 122
_symmetry_space_group_name_Hall 'I -4 2bw'
loop_
_atom_site_label
_atom_site_type_symbol
_atom_site_fract_x
_atom_site_fract_y
_atom_site_fract_z
Re1 Re 0.000 0.000 0.000
Bi1 Bi 0.236 0.250 0.125
P1 P 0.000 0.000 0.500
```

Summary:
ΔE_f: 1.10 eV per atom


Computed, not measured: a geometry-optimized TlIn2SnHg4 structure at the GGA-PBE level of DFT.

Structure (CIF):
```
data_TlIn2SnHg4
_chemical_formula_sum 'Tl1 In2 Sn1 Hg4'
_cell_length_a 5.877
_cell_length_b 3.828
_cell_length_c 9.969
_cell_angle_alpha 90.00
_cell_angle_beta 104.13
_cell_angle_gamma 90.00
_symmetry_space_group_name_H-M 'P 1 2/m 1'
_symmetry_Int_Tables_number 10
loop_
_symmetry_equiv_pos_as_xyz
'x,y,z'
'-x,-y,-z'
'-x,y,-z'
'x,-y,z'
loop_
_atom_site_label
_atom_site_type_symbol
_atom_site_fract_x
_atom_site_fract_y
_atom_site_fract_z
Tl1 Tl 0.000 0.000 0.000
In1 In 0.500 0.000 0.500
In2 In 0.500 0.500 0.000
Sn1 Sn 0.000 0.500 0.500
Hg1 Hg 0.251 0.000 0.749
Hg2 Hg 0.263 0.500 0.254
```

Summary:
ΔE_f: 0.03 eV per atom


Computed, not measured: a geometry-optimized Rb2AgMoBr6 structure at the GGA-PBE level of DFT.

Structure (CIF):
```
data_Rb2AgMoBr6
_chemical_formula_sum 'Rb12 Ag6 Mo6 Br36'
_cell_length_a 7.6734
_cell_length_b 7.6734
_cell_length_c 39.5792
_cell_angle_alpha 90.00
_cell_angle_beta 90.00
_cell_angle_gamma 120.00
_symmetry_space_group_name_H-M 'R -3 m'
_symmetry_Int_Tables_number 166
_symmetry_space_group_name_Hall '-R 3 2"'
loop_
_atom_site_label
_atom_site_type_symbol
_atom_site_fract_x
_atom_site_fract_y
_atom_site_fract_z
Rb1 Rb 0.0000 0.0000 0.1237
Rb2 Rb 0.0000 0.0000 0.2993
Ag1 Ag 0.0000 0.0000 0.4155
Mo1 Mo 0.0000 0.0000 0.0000
Mo2 Mo 0.0000 0.0000 0.5000
Br1 Br 0.0072 0.5036 0.1288
Br2 Br 0.0130 0.5065 0.7054
```

Summary:
Formation energy from raw total energies: -0.975 eV per atom
Excess energy over the best structure of this formula in the dataset: 0 meV/atom


Computed, not measured: a geometry-optimized LaY2Si4 structure at the GGA-PBE level of DFT.

Structure (CIF):
```
data_LaY2Si4
_chemical_formula_sum 'La2 Y4 Si8'
_cell_length_a 3.912
_cell_length_b 4.381
_cell_length_c 17.612
_cell_angle_alpha 90.00
_cell_angle_beta 90.00
_cell_angle_gamma 90.00
_symmetry_space_group_name_H-M 'I m m m'
_symmetry_Int_Tables_number 71
_symmetry_space_group_name_Hall '-I 2 2'
loop_
_atom_site_label
_atom_site_type_symbol
_atom_site_fract_x
_atom_site_fract_y
_atom_site_fract_z
La1 La 0.000 0.000 0.000
Y1 Y 0.000 0.500 0.317
Si1 Si 0.000 0.000 0.432
Si2 Si 0.000 0.500 0.150
```

Summary:
Formation energy from raw total energies: -0.792 eV per atom


Computed, not measured: a geometry-optimized Ba2NpI3O3 structure at the GGA-PBE level of DFT.

Structure (CIF):
```
data_Ba2NpI3O3
_chemical_formula_sum 'Ba2 Np1 I3 O3'
_cell_length_a 9.4265
_cell_length_b 9.4265
_cell_length_c 3.5286
_cell_angle_alpha 90.00
_cell_angle_beta 90.00
_cell_angle_gamma 120.00
_symmetry_space_group_name_H-M 'P -6 2 m'
_symmetry_Int_Tables_number 189
_symmetry_space_group_name_Hall 'P -6 -2'
loop_
_atom_site_label
_atom_site_type_symbol
_atom_site_fract_x
_atom_site_fract_y
_atom_site_fract_z
Ba1 Ba 0.3333 0.6667 0.0000
Np1 Np 0.0000 0.0000 0.5000
I1 I 0.0000 0.5990 0.5000
O1 O 0.0000 0.1521 0.0000
```

Summary:
Formation energy from raw total energies: -1.625 eV per atom


Computed, not measured: a geometry-optimized AlBiSeI2 structure at the GGA-PBE level of DFT.

Structure (CIF):
```
data_AlBiSeI2
_chemical_formula_sum 'Al1 Bi1 Se1 I2'
_cell_length_a 5.606
_cell_length_b 5.606
_cell_length_c 4.865
_cell_angle_alpha 90.00
_cell_angle_beta 90.00
_cell_angle_gamma 90.00
_symmetry_space_group_name_H-M 'P 4/m m m'
_symmetry_Int_Tables_number 123
_symmetry_space_group_name_Hall '-P 4 2'
loop_
_atom_site_label
_atom_site_type_symbol
_atom_site_fract_x
_atom_site_fract_y
_atom_site_fract_z
Al1 Al 0.000 0.000 0.000
Bi1 Bi 0.500 0.500 0.500
Se1 Se 0.000 0.000 0.500
I1 I 0.000 0.500 0.000
```

Summary:
Formation energy from raw total energies: 0.037 eV per atom


Computed, not measured: a geometry-optimized AsSe3 structure at the GGA-PBE level of DFT.

Structure (CIF):
```
data_AsSe3
_chemical_formula_sum 'As4 Se12'
_cell_length_a 6.850
_cell_length_b 6.850
_cell_length_c 6.850
_cell_angle_alpha 90.00
_cell_angle_beta 90.00
_cell_angle_gamma 90.00
_symmetry_space_group_name_H-M 'F m -3 m'
_symmetry_Int_Tables_number 225
_symmetry_space_group_name_Hall '-F 4 2 3'
loop_
_atom_site_label
_atom_site_type_symbol
_atom_site_fract_x
_atom_site_fract_y
_atom_site_fract_z
As1 As 0.000 0.000 0.000
Se1 Se 0.000 0.000 0.500
Se2 Se 0.250 0.250 0.250
```

Summary:
Formation energy from raw total energies: 0.534 eV per atom
Excess energy over the best structure of this formula in the dataset: 463 meV/atom


Computed, not measured: a geometry-optimized Ac2Cd5Pt3 structure at the GGA-PBE level of DFT.

Structure (CIF):
```
data_Ac2Cd5Pt3
_chemical_formula_sum 'Ac8 Cd20 Pt12'
_cell_length_a 4.531
_cell_length_b 27.532
_cell_length_c 7.738
_cell_angle_alpha 90.00
_cell_angle_beta 90.00
_cell_angle_gamma 90.00
_symmetry_space_group_name_H-M 'C m c 21'
_symmetry_Int_Tables_number 36
loop_
_symmetry_equiv_pos_as_xyz
'x,y,z'
'-x,-y,z+1/2'
'-x,y,z'
'x,-y,z+1/2'
'x+1/2,y+1/2,z'
'-x+1/2,-y+1/2,z+1/2'
'-x+1/2,y+1/2,z'
'x+1/2,-y+1/2,z+1/2'
loop_
_atom_site_label
_atom_site_type_symbol
_atom_site_fract_x
_atom_site_fract_y
_atom_site_fract_z
Ac1 Ac 0.000 0.027 0.000
Ac2 Ac 0.000 0.322 0.898
Cd1 Cd 0.000 0.100 0.616
Cd2 Cd 0.000 0.206 0.085
Cd3 Cd 0.000 0.206 0.708
Cd4 Cd 0.000 0.369 0.437
Cd5 Cd 0.000 0.444 0.834
Pt1 Pt 0.000 0.113 0.237
Pt2 Pt 0.000 0.262 0.395
Pt3 Pt 0.000 0.459 0.213
```

Summary:
ΔE_f: -0.60 eV per atom


Computed, not measured: a geometry-optimized CdSbPAu2 structure at the GGA-PBE level of DFT.

Structure (CIF):
```
data_CdSbPAu2
_chemical_formula_sum 'Cd1 Sb1 P1 Au2'
_cell_length_a 4.786
_cell_length_b 4.786
_cell_length_c 5.195
_cell_angle_alpha 90.00
_cell_angle_beta 90.00
_cell_angle_gamma 90.00
_symmetry_space_group_name_H-M 'P 4/m m m'
_symmetry_Int_Tables_number 123
_symmetry_space_group_name_Hall '-P 4 2'
loop_
_atom_site_label
_atom_site_type_symbol
_atom_site_fract_x
_atom_site_fract_y
_atom_site_fract_z
Cd1 Cd 0.000 0.000 0.000
Sb1 Sb 0.500 0.500 0.000
P1 P 0.000 0.000 0.500
Au1 Au 0.000 0.500 0.500
```

Summary:
Formation energy from raw total energies: 0.363 eV per atom


Computed, not measured: a geometry-optimized LiAcNd2Se5 structure at the GGA-PBE level of DFT.

Structure (CIF):
```
data_LiAcNd2Se5
_chemical_formula_sum 'Li4 Ac4 Nd8 Se20'
_cell_length_a 4.214
_cell_length_b 19.737
_cell_length_c 11.854
_cell_angle_alpha 90.00
_cell_angle_beta 90.00
_cell_angle_gamma 90.00
_symmetry_space_group_name_H-M 'C m c 21'
_symmetry_Int_Tables_number 36
loop_
_symmetry_equiv_pos_as_xyz
'x,y,z'
'-x,-y,z+1/2'
'-x,y,z'
'x,-y,z+1/2'
'x+1/2,y+1/2,z'
'-x+1/2,-y+1/2,z+1/2'
'-x+1/2,y+1/2,z'
'x+1/2,-y+1/2,z+1/2'
loop_
_atom_site_label
_atom_site_type_symbol
_atom_site_fract_x
_atom_site_fract_y
_atom_site_fract_z
Li1 Li 0.000 0.054 0.000
Ac1 Ac 0.000 0.296 0.540
Nd1 Nd 0.000 0.392 0.841
Nd2 Nd 0.000 0.414 0.217
Se1 Se 0.000 0.004 0.318
Se2 Se 0.000 0.134 0.540
Se3 Se 0.000 0.164 0.866
Se4 Se 0.000 0.200 0.233
Se5 Se 0.000 0.449 0.602
```

Summary:
Formation energy from raw total energies: -1.724 eV per atom


Computed, not measured: a geometry-optimized AcNd2Dy5Er structure at the GGA-PBE level of DFT.

Structure (CIF):
```
data_AcNd2Dy5Er
_chemical_formula_sum 'Ac4 Nd8 Dy20 Er4'
_cell_length_a 8.854
_cell_length_b 8.854
_cell_length_c 15.608
_cell_angle_alpha 90.00
_cell_angle_beta 90.00
_cell_angle_gamma 90.00
_symmetry_space_group_name_H-M 'I 4/m c m'
_symmetry_Int_Tables_number 140
_symmetry_space_group_name_Hall '-I 4 2c'
loop_
_atom_site_label
_atom_site_type_symbol
_atom_site_fract_x
_atom_site_fract_y
_atom_site_fract_z
Ac1 Ac 0.000 0.000 0.250
Nd1 Nd 0.117 0.383 0.000
Dy1 Dy 0.000 0.000 0.000
Dy2 Dy 0.207 0.293 0.367
Er1 Er 0.000 0.500 0.250
```

Summary:
ΔE_f: 0.26 eV per atom


Computed, not measured: a geometry-optimized CoIr2Pd structure at the GGA-PBE level of DFT.

Structure (CIF):
```
data_CoIr2Pd
_chemical_formula_sum 'Co1 Ir2 Pd1'
_cell_length_a 3.814
_cell_length_b 3.814
_cell_length_c 3.823
_cell_angle_alpha 90.00
_cell_angle_beta 90.00
_cell_angle_gamma 90.00
_symmetry_space_group_name_H-M 'P 4/m m m'
_symmetry_Int_Tables_number 123
_symmetry_space_group_name_Hall '-P 4 2'
loop_
_atom_site_label
_atom_site_type_symbol
_atom_site_fract_x
_atom_site_fract_y
_atom_site_fract_z
Co1 Co 0.000 0.000 0.000
Ir1 Ir 0.000 0.500 0.500
Pd1 Pd 0.500 0.500 0.000
```

Summary:
ΔE_f: 0.16 eV per atom


Computed, not measured: a geometry-optimized MgRe2Ru structure at the GGA-PBE level of DFT.

Structure (CIF):
```
data_MgRe2Ru
_chemical_formula_sum 'Mg1 Re2 Ru1'
_cell_length_a 2.734
_cell_length_b 2.734
_cell_length_c 8.251
_cell_angle_alpha 90.00
_cell_angle_beta 90.00
_cell_angle_gamma 90.00
_symmetry_space_group_name_H-M 'P 4/m m m'
_symmetry_Int_Tables_number 123
_symmetry_space_group_name_Hall '-P 4 2'
loop_
_atom_site_label
_atom_site_type_symbol
_atom_site_fract_x
_atom_site_fract_y
_atom_site_fract_z
Mg1 Mg 0.000 0.000 0.000
Re1 Re 0.500 0.500 0.269
Ru1 Ru 0.000 0.000 0.500
```

Summary:
ΔE_f: 0.25 eV per atom


Computed, not measured: a geometry-optimized AlTcAsBr2 structure at the GGA-PBE level of DFT.

Structure (CIF):
```
data_AlTcAsBr2
_chemical_formula_sum 'Al1 Tc1 As1 Br2'
_cell_length_a 4.911
_cell_length_b 4.911
_cell_length_c 5.254
_cell_angle_alpha 90.00
_cell_angle_beta 90.00
_cell_angle_gamma 90.00
_symmetry_space_group_name_H-M 'P 4/m m m'
_symmetry_Int_Tables_number 123
_symmetry_space_group_name_Hall '-P 4 2'
loop_
_atom_site_label
_atom_site_type_symbol
_atom_site_fract_x
_atom_site_fract_y
_atom_site_fract_z
Al1 Al 0.000 0.000 0.000
Tc1 Tc 0.500 0.500 0.500
As1 As 0.000 0.000 0.500
Br1 Br 0.000 0.500 0.000
```

Summary:
Formation energy from raw total energies: 0.676 eV per atom
Excess energy over the best structure of this formula in the dataset: 331 meV/atom


Computed, not measured: a geometry-optimized V2InSi structure at the GGA-PBE level of DFT.

Structure (CIF):
```
data_V2InSi
_chemical_formula_sum 'V8 In4 Si4'
_cell_length_a 4.008
_cell_length_b 4.008
_cell_length_c 18.197
_cell_angle_alpha 90.00
_cell_angle_beta 90.00
_cell_angle_gamma 90.00
_symmetry_space_group_name_H-M 'I -4 2 d'
_symmetry_Int_Tables_number 122
_symmetry_space_group_name_Hall 'I -4 2bw'
loop_
_atom_site_label
_atom_site_type_symbol
_atom_site_fract_x
_atom_site_fract_y
_atom_site_fract_z
V1 V 0.118 0.250 0.125
In1 In 0.000 0.000 0.500
Si1 Si 0.000 0.000 0.000
```

Summary:
Formation energy from raw total energies: 0.567 eV per atom


Computed, not measured: a geometry-optimized RbNbN2 structure at the GGA-PBE level of DFT.

Structure (CIF):
```
data_RbNbN2
_chemical_formula_sum 'Rb2 Nb2 N4'
_cell_length_a 6.093
_cell_length_b 3.709
_cell_length_c 6.746
_cell_angle_alpha 90.00
_cell_angle_beta 90.00
_cell_angle_gamma 90.00
_symmetry_space_group_name_H-M 'P m m a'
_symmetry_Int_Tables_number 51
loop_
_symmetry_equiv_pos_as_xyz
'x,y,z'
'-x,-y,-z'
'-x+1/2,-y,z'
'x+1/2,y,-z'
'x+1/2,-y,-z'
'-x+1/2,y,z'
'-x,y,-z'
'x,-y,z'
loop_
_atom_site_label
_atom_site_type_symbol
_atom_site_fract_x
_atom_site_fract_y
_atom_site_fract_z
Rb1 Rb 0.250 0.000 0.037
Nb1 Nb 0.250 0.500 0.529
N1 N 0.001 0.500 0.704
```

Summary:
Formation energy from raw total energies: 0.043 eV per atom


Computed, not measured: a geometry-optimized KSi2Mo structure at the GGA-PBE level of DFT.

Structure (CIF):
```
data_KSi2Mo
_chemical_formula_sum 'K2 Si4 Mo2'
_cell_length_a 6.423
_cell_length_b 8.150
_cell_length_c 2.721
_cell_angle_alpha 90.00
_cell_angle_beta 90.00
_cell_angle_gamma 90.00
_symmetry_space_group_name_H-M 'C m m m'
_symmetry_Int_Tables_number 65
_symmetry_space_group_name_Hall '-C 2 2'
loop_
_atom_site_label
_atom_site_type_symbol
_atom_site_fract_x
_atom_site_fract_y
_atom_site_fract_z
K1 K 0.000 0.000 0.000
Si1 Si 0.250 0.250 0.500
Mo1 Mo 0.000 0.500 0.000
```

Summary:
Formation energy from raw total energies: 0.820 eV per atom
Excess energy over the best structure of this formula in the dataset: 743 meV/atom


Computed, not measured: a geometry-optimized KAg2I3 structure at the GGA-PBE level of DFT.

Structure (CIF):
```
data_KAg2I3
_chemical_formula_sum 'K4 Ag8 I12'
_cell_length_a 10.956
_cell_length_b 14.668
_cell_length_c 5.868
_cell_angle_alpha 90.00
_cell_angle_beta 90.00
_cell_angle_gamma 90.00
_symmetry_space_group_name_H-M 'C m c m'
_symmetry_Int_Tables_number 63
_symmetry_space_group_name_Hall '-C 2c 2'
loop_
_atom_site_label
_atom_site_type_symbol
_atom_site_fract_x
_atom_site_fract_y
_atom_site_fract_z
K1 K 0.000 0.228 0.250
Ag1 Ag 0.188 0.500 0.000
I1 I 0.000 0.390 0.750
I2 I 0.197 0.141 0.750
```

Summary:
Formation energy from raw total energies: -0.639 eV per atom


Computed, not measured: a geometry-optimized LaInAu5 structure at the GGA-PBE level of DFT.

Structure (CIF):
```
data_LaInAu5
_chemical_formula_sum 'La4 In4 Au20'
_cell_length_a 9.116
_cell_length_b 5.769
_cell_length_c 11.413
_cell_angle_alpha 90.00
_cell_angle_beta 90.00
_cell_angle_gamma 90.00
_symmetry_space_group_name_H-M 'P n m a'
_symmetry_Int_Tables_number 62
loop_
_symmetry_equiv_pos_as_xyz
'x,y,z'
'-x,-y,-z'
'-x+1/2,-y,z+1/2'
'x+1/2,y,-z+1/2'
'x+1/2,-y+1/2,-z+1/2'
'-x+1/2,y+1/2,z+1/2'
'-x,y+1/2,-z'
'x,-y+1/2,z'
loop_
_atom_site_label
_atom_site_type_symbol
_atom_site_fract_x
_atom_site_fract_y
_atom_site_fract_z
La1 La 0.245 0.250 0.053
In1 In 0.150 0.750 0.849
Au1 Au 0.065 0.009 0.301
Au2 Au 0.077 0.750 0.079
Au3 Au 0.093 0.250 0.520
Au4 Au 0.178 0.250 0.774
```

Summary:
ΔE_f: -0.48 eV per atom


no.,uncorrected energy (eV per atom)
1,-3.599
2,-5.307
3,-1.605
4,-3.540
5,-6.442
6,-5.660
7,-2.805
8,-3.242
9,-3.691
10,-3.038
11,-5.388
12,-4.318
13,-7.349
14,-8.690
15,-3.744
16,-6.033
17,-6.879
18,-4.873
19,-2.547
20,-3.915